# Dy2Cd5Ag4 | the Alexandria database | GGA-PBE | optimized geometry
# Total magnetic moment ... 0.0 Bohr magnetons per cell
# Formation energy from the elements ... -1.33 eV per formula unit
# Calculated total energy ... -2.41 eV per atom
# Fermi-level density of states ... 23.1 states/eV per cell
data_Dy2Cd5Ag4
_cell_length_a 5.786
_cell_length_b 9.341
_cell_length_c 18.806
_cell_angle_alpha 90.00
_cell_angle_beta 90.00
_cell_angle_gamma 90.00
_symmetry_space_group_name_H-M 'F m m m'
_symmetry_Int_Tables_number 69
_symmetry_space_group_name_Hall '-F 2 2'
loop_
_atom_site_label
_atom_site_type_symbol
_atom_site_fract_x
_atom_site_fract_y
_atom_site_fract_z
Dy1 Dy 0.000 0.000 0.118
Cd1 Cd 0.000 0.000 0.500
Cd2 Cd 0.250 0.250 0.000
Cd3 Cd 0.250 0.250 0.250
Ag1 Ag 0.000 0.158 0.369


# DyCd4Ag | the Alexandria database | GGA-PBE | optimized geometry
# Total magnetic moment ... 0.0 Bohr magnetons per cell
# Formation energy from the elements ... -1.06 eV per formula unit
# Calculated total energy ... -2.03 eV per atom
# Fermi-level density of states ... 2.8 states/eV per cell
data_DyCd4Ag
_cell_length_a 4.925
_cell_length_b 5.094
_cell_length_c 6.311
_cell_angle_alpha 98.45
_cell_angle_beta 90.06
_cell_angle_gamma 118.88
_symmetry_space_group_name_H-M 'P -1'
_symmetry_Int_Tables_number 2
loop_
_symmetry_equiv_pos_as_xyz
'x,y,z'
'-x,-y,-z'
loop_
_atom_site_label
_atom_site_type_symbol
_atom_site_fract_x
_atom_site_fract_y
_atom_site_fract_z
Dy1 Dy 0.000 0.000 0.000
Cd1 Cd 0.307 0.615 0.742
Cd2 Cd 0.367 0.734 0.258
Ag1 Ag 0.000 0.000 0.500


# DyCd2Ag | the Alexandria database | GGA-PBE | optimized geometry
# Total magnetic moment ... 0.0 Bohr magnetons per cell
# Formation energy from the elements ... -1.13 eV per formula unit
# Calculated total energy ... -2.60 eV per atom
# Fermi-level density of states ... 3.7 states/eV per cell
data_DyCd2Ag
_cell_length_a 4.969
_cell_length_b 4.969
_cell_length_c 7.153
_cell_angle_alpha 90.00
_cell_angle_beta 90.00
_cell_angle_gamma 90.00
_symmetry_space_group_name_H-M 'I -4 m 2'
_symmetry_Int_Tables_number 119
_symmetry_space_group_name_Hall 'I -4 -2'
loop_
_atom_site_label
_atom_site_type_symbol
_atom_site_fract_x
_atom_site_fract_y
_atom_site_fract_z
Dy1 Dy 0.000 0.000 0.000
Cd1 Cd 0.000 0.000 0.500
Cd2 Cd 0.000 0.500 0.250
Ag1 Ag 0.000 0.500 0.750


Q: Among the records above, which one has the lowest calculated total energy?
A: DyCd2Ag